[1]
This record from Alexandria via LeMat-Bulk describes crystalline CsYZr at its relaxed geometry. The functional is PBE.

Cell and atoms, written as CIF:
```
data_CsYZr
_chemical_formula_sum 'Cs4 Y4 Zr4'
_cell_length_a 5.105
_cell_length_b 6.998
_cell_length_c 13.086
_cell_angle_alpha 90.00
_cell_angle_beta 90.00
_cell_angle_gamma 90.00
_symmetry_space_group_name_H-M 'P n m a'
_symmetry_Int_Tables_number 62
loop_
_symmetry_equiv_pos_as_xyz
'x,y,z'
'-x,-y,-z'
'-x+1/2,-y,z+1/2'
'x+1/2,y,-z+1/2'
'x+1/2,-y+1/2,-z+1/2'
'-x+1/2,y+1/2,z+1/2'
'-x,y+1/2,-z'
'x,-y+1/2,z'
loop_
_atom_site_label
_atom_site_type_symbol
_atom_site_fract_x
_atom_site_fract_y
_atom_site_fract_z
Cs1 Cs 0.239 0.250 0.155
Y1 Y 0.242 0.250 0.551
Zr1 Zr 0.241 0.250 0.793
```

The value obtained for the polymorph energy (0 for the lowest one) is 536 meV per atom.



[2]
This record from Alexandria via LeMat-Bulk describes crystalline Tb2Ce2S5 at its relaxed geometry. The functional is PBE.

Cell and atoms, written as CIF:
```
data_Tb2Ce2S5
_chemical_formula_sum 'Tb8 Ce8 S20'
_cell_length_a 14.097
_cell_length_b 7.527
_cell_length_c 7.507
_cell_angle_alpha 90.00
_cell_angle_beta 90.00
_cell_angle_gamma 90.00
_symmetry_space_group_name_H-M 'C m c e'
_symmetry_Int_Tables_number 64
_symmetry_space_group_name_Hall '-C 2ac 2'
loop_
_atom_site_label
_atom_site_type_symbol
_atom_site_fract_x
_atom_site_fract_y
_atom_site_fract_z
Tb1 Tb 0.000 0.156 0.159
Ce1 Ce 0.198 0.000 0.500
S1 S 0.000 0.000 0.500
S2 S 0.134 0.157 0.848
```

For the energy relative to the elements, uncorrected, the calculation gives -1.93 eV per atom.



[3]
This record from Alexandria via LeMat-Bulk describes crystalline AlOs3 at its relaxed geometry. The functional is PBE.

Cell and atoms, written as CIF:
```
data_AlOs3
_chemical_formula_sum 'Al2 Os6'
_cell_length_a 9.012
_cell_length_b 2.766
_cell_length_c 4.650
_cell_angle_alpha 90.00
_cell_angle_beta 99.15
_cell_angle_gamma 90.00
_symmetry_space_group_name_H-M 'C 1 2/m 1'
_symmetry_Int_Tables_number 12
loop_
_symmetry_equiv_pos_as_xyz
'x,y,z'
'-x,-y,-z'
'-x,y,-z'
'x,-y,z'
'x+1/2,y+1/2,z'
'-x+1/2,-y+1/2,-z'
'-x+1/2,y+1/2,-z'
'x+1/2,-y+1/2,z'
loop_
_atom_site_label
_atom_site_type_symbol
_atom_site_fract_x
_atom_site_fract_y
_atom_site_fract_z
Al1 Al 0.000 0.000 0.000
Os1 Os 0.000 0.500 0.500
Os2 Os 0.244 0.000 0.751
```



[4]
This record from Alexandria via LeMat-Bulk describes crystalline BaSrHg2 at its relaxed geometry. The functional is PBE.

Cell and atoms, written as CIF:
```
data_BaSrHg2
_chemical_formula_sum 'Ba2 Sr2 Hg4'
_cell_length_a 4.065
_cell_length_b 5.699
_cell_length_c 12.011
_cell_angle_alpha 90.00
_cell_angle_beta 90.00
_cell_angle_gamma 90.00
_symmetry_space_group_name_H-M 'I m m 2'
_symmetry_Int_Tables_number 44
loop_
_symmetry_equiv_pos_as_xyz
'x,y,z'
'-x,-y,z'
'-x,y,z'
'x,-y,z'
'x+1/2,y+1/2,z+1/2'
'-x+1/2,-y+1/2,z+1/2'
'-x+1/2,y+1/2,z+1/2'
'x+1/2,-y+1/2,z+1/2'
loop_
_atom_site_label
_atom_site_type_symbol
_atom_site_fract_x
_atom_site_fract_y
_atom_site_fract_z
Ba1 Ba 0.000 0.000 0.000
Sr1 Sr 0.000 0.500 0.798
Hg1 Hg 0.000 0.000 0.545
Hg2 Hg 0.000 0.500 0.249
```



[5]
This record from Alexandria via LeMat-Bulk describes crystalline BeCu2Ru at its relaxed geometry. The functional is PBE.

Cell and atoms, written as CIF:
```
data_BeCu2Ru
_chemical_formula_sum 'Be1 Cu2 Ru1'
_cell_length_a 2.683
_cell_length_b 2.683
_cell_length_c 6.363
_cell_angle_alpha 90.00
_cell_angle_beta 90.00
_cell_angle_gamma 90.00
_symmetry_space_group_name_H-M 'P 4 m m'
_symmetry_Int_Tables_number 99
loop_
_symmetry_equiv_pos_as_xyz
'x,y,z'
'-y,x,z'
'-x,-y,z'
'y,-x,z'
'-x,y,z'
'y,x,z'
'x,-y,z'
'-y,-x,z'
loop_
_atom_site_label
_atom_site_type_symbol
_atom_site_fract_x
_atom_site_fract_y
_atom_site_fract_z
Be1 Be 0.000 0.000 0.000
Cu1 Cu 0.000 0.000 0.480
Cu2 Cu 0.500 0.500 0.213
Ru1 Ru 0.500 0.500 0.772
```



[6]
This record from Alexandria via LeMat-Bulk describes crystalline PrMo2N4 at its relaxed geometry. The functional is PBE.

Cell and atoms, written as CIF:
```
data_PrMo2N4
_chemical_formula_sum 'Pr4 Mo8 N16'
_cell_length_a 3.342
_cell_length_b 9.957
_cell_length_c 10.106
_cell_angle_alpha 90.00
_cell_angle_beta 90.00
_cell_angle_gamma 90.00
_symmetry_space_group_name_H-M 'C m c m'
_symmetry_Int_Tables_number 63
_symmetry_space_group_name_Hall '-C 2c 2'
loop_
_atom_site_label
_atom_site_type_symbol
_atom_site_fract_x
_atom_site_fract_y
_atom_site_fract_z
Pr1 Pr 0.000 0.122 0.250
Mo1 Mo 0.000 0.382 0.057
N1 N 0.000 0.000 0.000
N2 N 0.000 0.261 0.603
N3 N 0.000 0.426 0.250
```

For the energy relative to the elements, uncorrected, the calculation gives -0.62 eV per atom.



[7]
This record from Alexandria via LeMat-Bulk describes crystalline IrRhW2 at its relaxed geometry. The functional is PBE.

Cell and atoms, written as CIF:
```
data_IrRhW2
_chemical_formula_sum 'Ir2 Rh2 W4'
_cell_length_a 9.266
_cell_length_b 2.780
_cell_length_c 4.807
_cell_angle_alpha 90.00
_cell_angle_beta 100.18
_cell_angle_gamma 90.00
_symmetry_space_group_name_H-M 'C 1 2/m 1'
_symmetry_Int_Tables_number 12
loop_
_symmetry_equiv_pos_as_xyz
'x,y,z'
'-x,-y,-z'
'-x,y,-z'
'x,-y,z'
'x+1/2,y+1/2,z'
'-x+1/2,-y+1/2,-z'
'-x+1/2,y+1/2,-z'
'x+1/2,-y+1/2,z'
loop_
_atom_site_label
_atom_site_type_symbol
_atom_site_fract_x
_atom_site_fract_y
_atom_site_fract_z
Ir1 Ir 0.000 0.000 0.000
Rh1 Rh 0.000 0.500 0.500
W1 W 0.249 0.500 0.249
```

The value obtained for the polymorph energy (0 for the lowest one) is 187 meV per atom.



[8]
This record from Alexandria via LeMat-Bulk describes crystalline Li2ErCl6 at its relaxed geometry. The functional is PBE.

Cell and atoms, written as CIF:
```
data_Li2ErCl6
_chemical_formula_sum 'Li4 Er2 Cl12'
_cell_length_a 12.903
_cell_length_b 4.076
_cell_length_c 9.538
_cell_angle_alpha 90.00
_cell_angle_beta 105.71
_cell_angle_gamma 90.00
_symmetry_space_group_name_H-M 'C 1 2/m 1'
_symmetry_Int_Tables_number 12
loop_
_symmetry_equiv_pos_as_xyz
'x,y,z'
'-x,-y,-z'
'-x,y,-z'
'x,-y,z'
'x+1/2,y+1/2,z'
'-x+1/2,-y+1/2,-z'
'-x+1/2,y+1/2,-z'
'x+1/2,-y+1/2,z'
loop_
_atom_site_label
_atom_site_type_symbol
_atom_site_fract_x
_atom_site_fract_y
_atom_site_fract_z
Li1 Li 0.208 0.000 0.163
Er1 Er 0.000 0.000 0.500
Cl1 Cl 0.056 0.000 0.264
Cl2 Cl 0.137 0.500 0.602
Cl3 Cl 0.166 0.500 0.033
```

For the energy relative to the elements, uncorrected, the calculation gives -1.66 eV per atom.



[9]
This record from Alexandria via LeMat-Bulk describes crystalline Ca2TaTc at its relaxed geometry. The functional is PBE.

Cell and atoms, written as CIF:
```
data_Ca2TaTc
_chemical_formula_sum 'Ca2 Ta1 Tc1'
_cell_length_a 4.007
_cell_length_b 4.007
_cell_length_c 5.242
_cell_angle_alpha 90.00
_cell_angle_beta 90.00
_cell_angle_gamma 90.00
_symmetry_space_group_name_H-M 'P 4/m m m'
_symmetry_Int_Tables_number 123
_symmetry_space_group_name_Hall '-P 4 2'
loop_
_atom_site_label
_atom_site_type_symbol
_atom_site_fract_x
_atom_site_fract_y
_atom_site_fract_z
Ca1 Ca 0.000 0.500 0.000
Ta1 Ta 0.000 0.000 0.500
Tc1 Tc 0.500 0.500 0.500
```

The value obtained for the polymorph energy (0 for the lowest one) is 487 meV per atom.



[10]
This record from Alexandria via LeMat-Bulk describes crystalline TlRuRh2 at its relaxed geometry. The functional is PBE.

Cell and atoms, written as CIF:
```
data_TlRuRh2
_chemical_formula_sum 'Tl2 Ru2 Rh4'
_cell_length_a 9.179
_cell_length_b 2.904
_cell_length_c 4.899
_cell_angle_alpha 90.00
_cell_angle_beta 100.10
_cell_angle_gamma 90.00
_symmetry_space_group_name_H-M 'C 1 2/m 1'
_symmetry_Int_Tables_number 12
loop_
_symmetry_equiv_pos_as_xyz
'x,y,z'
'-x,-y,-z'
'-x,y,-z'
'x,-y,z'
'x+1/2,y+1/2,z'
'-x+1/2,-y+1/2,-z'
'-x+1/2,y+1/2,-z'
'x+1/2,-y+1/2,z'
loop_
_atom_site_label
_atom_site_type_symbol
_atom_site_fract_x
_atom_site_fract_y
_atom_site_fract_z
Tl1 Tl 0.000 0.000 0.000
Ru1 Ru 0.000 0.500 0.500
Rh1 Rh 0.243 0.000 0.727
```

The value obtained for the polymorph energy (0 for the lowest one) is 85 meV per atom.



In μB/atom, the spin magnetization values for the records above are, in order, 0.000, 0.369, 0.000, 0.000, 0.000, 0.000, 0.000, 0.117, 0.000, 0.000.
In eV per atom, the E_tot values for the records above are, in order, -4.431, -6.576, -9.354, -1.447, -5.291, -9.158, -10.576, -3.826, -5.909, -6.287.